Entry A
Compound: Rb2Na2Se
Source: the Alexandria database
Functional: PBE
Structure: optimized geometry

Cell lengths 8.0928, 8.0928, 6.2479 Å; angles 90.00, 90.00, 90.00 degrees
Space group P4/mbm (No. 127)
One atom of each set of equivalent atoms:
Rb 0.1968 0.3032 0.0000 (multiplicity 4)
Na 0.1554 0.6554 0.5000 (multiplicity 4)
Se 0.0000 0.0000 0.5000 (multiplicity 2)

Results
Size of the total moment (μB per cell): 0.00

Entry B
Compound: Rb2Na2Se
Source: the Alexandria database
Functional: PBE
Structure: optimized geometry

Cell lengths 8.6854, 8.6854, 6.9706 Å; angles 90.00, 90.00, 90.00 degrees
Space group P4/mbm (No. 127)
One atom of each set of equivalent atoms:
Rb 0.1635 0.3365 0.0000 (multiplicity 4)
Na 0.1487 0.6487 0.5000 (multiplicity 4)
Se 0.0000 0.0000 0.0000 (multiplicity 2)

Results
Size of the total moment (μB per cell): 0.00

Which structure wins on stability? entry A wins.

Entry A
Compound: RbNaSe2
Source: the Alexandria database
Functional: PBE
Structure: optimized geometry

Cell lengths 5.4445, 5.4445, 19.0302 Å; angles 90.00, 90.00, 90.00 degrees
Space group I-42d (No. 122)
One atom of each set of equivalent atoms:
Rb 0.0000 0.0000 0.0000 (multiplicity 4)
Na 0.0000 0.0000 0.5000 (multiplicity 4)
Se 0.0629 0.2500 0.6250 (multiplicity 8)

Results
Size of the total moment (μB per cell): 0.00

Entry B
Compound: RbNaSe2
Source: the Alexandria database
Functional: PBE
Structure: optimized geometry

Cell lengths 9.4214, 4.4852, 12.0347 Å; angles 90.00, 90.00, 90.00 degrees
Space group Pnma (No. 62)
One atom of each set of equivalent atoms:
Rb 0.1341 0.2500 0.1345 (multiplicity 4)
Na 0.1416 0.2500 0.4048 (multiplicity 4)
Se 0.0698 0.2500 0.6412 (multiplicity 4)
Se 0.1550 0.2500 0.8317 (multiplicity 4)

Results
Size of the total moment (μB per cell): 0.00

Which structure wins on stability? entry B wins.

Entry A
Compound: RbNaSe3
Source: the Alexandria database
Functional: PBE
Structure: optimized geometry

Cell lengths 5.4435, 5.4435, 5.4435 Å; angles 90.00, 90.00, 90.00 degrees
Space group Pm-3m (No. 221)
One atom of each set of equivalent atoms:
Rb 0.0000 0.0000 0.0000 (multiplicity 1)
Na 0.5000 0.5000 0.5000 (multiplicity 1)
Se 0.0000 0.5000 0.5000 (multiplicity 3)

Results
Size of the total moment (μB per cell): 2.02

Entry B
Compound: RbNaSe3
Source: the Alexandria database
Functional: PBE
Structure: optimized geometry

Cell lengths 6.2607, 6.2607, 6.2607 Å; angles 90.00, 90.00, 90.00 degrees
Space group Pm-3m (No. 221)
One atom of each set of equivalent atoms:
Rb 0.0000 0.0000 0.0000 (multiplicity 1)
Na 0.5000 0.5000 0.5000 (multiplicity 1)
Se 0.0000 0.0000 0.5000 (multiplicity 3)

Results
Size of the total moment (μB per cell): 4.00

Which structure wins on stability? entry A wins.